A plane-wave DFT calculation with GGA-PBE was carried out for a relaxed ScZnPPb2 crystal.

The space group is P4/mmm (No. 123) and the conventional cell measures 5.136, 5.136 and 5.212 Å, with angles of 90.00, 90.00 and 90.00 degrees. The inequivalent atoms are Sc at (0.000, 0.000, 0.000), Zn at (0.000, 0.000, 0.500), P at (0.500, 0.500, 0.000) and Pb at (0.000, 0.500, 0.500).

The crystal system is tetragonal. For the magnetic moment, the calculation gives 0.0 μB/f.u. The energy of formation from the pure elements is 523 meV per atom.